The following is a PBE+U calculation of a relaxed MgV2Pb3O9 crystal, from the Alexandria database.

Structure (POSCAR):
```
MgV2Pb3O9
1.0
5.6080 0.0000 0.0000
-2.8040 4.8567 0.0000
0.0000 0.0000 6.9809
Mg V Pb O
1 2 3 9
direct
0.0000 0.0000 0.0000
0.3333 0.6667 0.6949
0.6667 0.3333 0.3051
0.0000 0.0000 0.5000
0.3333 0.6667 0.2216
0.6667 0.3333 0.7784
0.0000 0.5000 0.5000
0.1726 0.3452 0.8184
0.1726 0.8274 0.8184
0.3452 0.1726 0.1816
0.5000 0.0000 0.5000
0.5000 0.5000 0.5000
0.6548 0.8274 0.8184
0.8274 0.1726 0.1816
0.8274 0.6548 0.1816
```

Summary:
The calculation puts the density of states at the Fermi level at 0.00 states/eV/f.u. The calculation puts the magnetic moment at 0.0 μB per cell. As for the space group: P-3m1 (164). The calculation puts the total energy at -97.53 eV per cell.